# KCd4Hg2Pb (GGA-PBE, relaxed)
# **Calculated total energy**: -9.460 eV/cell
# **Formation energy from the elements**: -0.049 eV per atom
data_KCd4Hg2Pb
_cell_length_a 4.7178
_cell_length_b 4.7178
_cell_length_c 10.7402
_cell_angle_alpha 90.00
_cell_angle_beta 90.00
_cell_angle_gamma 90.00
_space_group_name_H-M_alt 'P 4/m m m'
_space_group_IT_number 123
_space_group_name_Hall '-P 4 2'
loop_
_atom_site_label
_atom_site_fract_x
_atom_site_fract_y
_atom_site_fract_z
K1 0.0000 0.0000 0.0000
Cd1 0.0000 0.5000 0.3083
Hg1 0.5000 0.5000 0.1367
Pb1 0.0000 0.0000 0.5000

***

# K2Cd4Hg3Pb (GGA-PBE, relaxed)
# **Calculated total energy**: -11.705 eV/cell
# **Formation energy from the elements**: -0.124 eV per atom
data_K2Cd4Hg3Pb
_cell_length_a 5.1188
_cell_length_b 5.1188
_cell_length_c 11.8907
_cell_angle_alpha 90.00
_cell_angle_beta 90.00
_cell_angle_gamma 90.00
_space_group_name_H-M_alt 'P -4 m 2'
_space_group_IT_number 115
_space_group_name_Hall 'P -4 -2'
loop_
_atom_site_label
_atom_site_fract_x
_atom_site_fract_y
_atom_site_fract_z
K1 0.0000 0.5000 0.2494
Cd1 0.0000 0.0000 0.5000
Cd2 0.0000 0.5000 0.8668
Cd3 0.5000 0.5000 0.5000
Hg1 0.0000 0.0000 0.0000
Hg2 0.0000 0.5000 0.6266
Pb1 0.5000 0.5000 0.0000

***

# K2Cd4HgPb3 (GGA-PBE, relaxed)
# **Calculated total energy**: -18.157 eV/cell
# **Formation energy from the elements**: -0.087 eV per atom
data_K2Cd4HgPb3
_cell_length_a 5.0920
_cell_length_b 5.0920
_cell_length_c 12.4487
_cell_angle_alpha 90.00
_cell_angle_beta 90.00
_cell_angle_gamma 90.00
_space_group_name_H-M_alt 'P -4 m 2'
_space_group_IT_number 115
_space_group_name_Hall 'P -4 -2'
loop_
_atom_site_label
_atom_site_fract_x
_atom_site_fract_y
_atom_site_fract_z
K1 0.0000 0.5000 0.2491
Cd1 0.0000 0.0000 0.0000
Cd2 0.0000 0.5000 0.6306
Cd3 0.5000 0.5000 0.0000
Hg1 0.0000 0.0000 0.5000
Pb1 0.0000 0.5000 0.8655
Pb2 0.5000 0.5000 0.5000

***

# K2CdHg3Pb4 (GGA-PBE, relaxed)
# **Calculated total energy**: -19.917 eV/cell
# **Formation energy from the elements**: -0.107 eV per atom
data_K2CdHg3Pb4
_cell_length_a 5.1033
_cell_length_b 5.1033
_cell_length_c 12.7693
_cell_angle_alpha 90.00
_cell_angle_beta 90.00
_cell_angle_gamma 90.00
_space_group_name_H-M_alt 'P -4 m 2'
_space_group_IT_number 115
_space_group_name_Hall 'P -4 -2'
loop_
_atom_site_label
_atom_site_fract_x
_atom_site_fract_y
_atom_site_fract_z
K1 0.0000 0.5000 0.2450
Cd1 0.5000 0.5000 0.0000
Hg1 0.0000 0.0000 0.0000
Hg2 0.0000 0.5000 0.6411
Pb1 0.0000 0.0000 0.5000
Pb2 0.0000 0.5000 0.8699
Pb3 0.5000 0.5000 0.5000

***

# KCd2Hg4Pb (GGA-PBE, relaxed)
# **Calculated total energy**: -25.631 eV/cell
# **Formation energy from the elements**: -0.088 eV per atom
data_KCd2Hg4Pb
_cell_length_a 4.9245
_cell_length_b 4.9245
_cell_length_c 33.6946
_cell_angle_alpha 90.00
_cell_angle_beta 90.00
_cell_angle_gamma 120.00
_space_group_name_H-M_alt 'R -3 m'
_space_group_IT_number 166
_space_group_name_Hall '-R 3 2"'
loop_
_atom_site_label
_atom_site_fract_x
_atom_site_fract_y
_atom_site_fract_z
K1 0.0000 0.0000 0.0000
Cd1 0.0000 0.0000 0.2444
Hg1 0.0000 0.0000 0.1222
Hg2 0.0000 0.0000 0.3943
Pb1 0.0000 0.0000 0.5000

***

# K2Cd3HgPb4 (GGA-PBE, relaxed)
# **Calculated total energy**: -20.975 eV/cell
# **Formation energy from the elements**: -0.090 eV per atom
data_K2Cd3HgPb4
_cell_length_a 5.0749
_cell_length_b 5.0749
_cell_length_c 12.7906
_cell_angle_alpha 90.00
_cell_angle_beta 90.00
_cell_angle_gamma 90.00
_space_group_name_H-M_alt 'P -4 m 2'
_space_group_IT_number 115
_space_group_name_Hall 'P -4 -2'
loop_
_atom_site_label
_atom_site_fract_x
_atom_site_fract_y
_atom_site_fract_z
K1 0.0000 0.5000 0.2441
Cd1 0.0000 0.0000 0.0000
Cd2 0.0000 0.5000 0.6390
Hg1 0.5000 0.5000 0.0000
Pb1 0.0000 0.0000 0.5000
Pb2 0.0000 0.5000 0.8679
Pb3 0.5000 0.5000 0.5000

***

# KCdHgPb (GGA-PBE, relaxed)
# **Calculated total energy**: -25.310 eV/cell
# **Formation energy from the elements**: -0.076 eV per atom
data_KCdHgPb
_cell_length_a 7.8237
_cell_length_b 7.8237
_cell_length_c 7.8237
_cell_angle_alpha 90.00
_cell_angle_beta 90.00
_cell_angle_gamma 90.00
_space_group_name_H-M_alt 'F -4 3 m'
_space_group_IT_number 216
_space_group_name_Hall 'F -4 2 3'
loop_
_atom_site_label
_atom_site_fract_x
_atom_site_fract_y
_atom_site_fract_z
K1 0.0000 0.0000 0.0000
Cd1 0.2500 0.2500 0.2500
Hg1 0.2500 0.2500 0.7500
Pb1 0.0000 0.0000 0.5000

***

# K2Cd3Hg12Pb (GGA-PBE, relaxed)
# **Calculated total energy**: -39.904 eV/cell
# **Formation energy from the elements**: -0.057 eV per atom
data_K2Cd3Hg12Pb
_cell_length_a 7.0183
_cell_length_b 7.0183
_cell_length_c 38.6883
_cell_angle_alpha 90.00
_cell_angle_beta 90.00
_cell_angle_gamma 120.00
_space_group_name_H-M_alt 'R -3 m'
_space_group_IT_number 166
_space_group_name_Hall '-R 3 2"'
loop_
_atom_site_label
_atom_site_fract_x
_atom_site_fract_y
_atom_site_fract_z
K1 0.0000 0.0000 0.1389
Cd1 0.0000 0.5000 0.0000
Hg1 0.0228 0.5114 0.8913
Hg2 0.0446 0.5223 0.6152
Pb1 0.0000 0.0000 0.5000

***

# K2CdHg6Pd (GGA-PBE, relaxed)
# **Calculated total energy**: -11.714 eV/cell
# **Formation energy from the elements**: -0.160 eV per atom
data_K2CdHg6Pd
_cell_length_a 7.2717
_cell_length_b 7.7898
_cell_length_c 7.8169
_cell_angle_alpha 89.78
_cell_angle_beta 62.29
_cell_angle_gamma 62.32
_space_group_name_H-M_alt 'P -1'
_space_group_IT_number 2
_space_group_name_Hall '-P 1'
loop_
_atom_site_label
_atom_site_fract_x
_atom_site_fract_y
_atom_site_fract_z
K1 0.0002 0.2497 0.2501
Cd1 0.5000 0.0000 0.5000
Hg1 0.0136 0.7419 0.2419
Hg2 0.4963 0.2585 0.7584
Hg3 0.5001 0.2568 0.2432
Pd1 0.5000 0.5000 0.0000

***

# K2CdHgPd (GGA-PBE, relaxed)
# **Calculated total energy**: -8.870 eV/cell
# **Formation energy from the elements**: -0.053 eV per atom
data_K2CdHgPd
_cell_length_a 6.1680
_cell_length_b 6.1680
_cell_length_c 5.2490
_cell_angle_alpha 90.00
_cell_angle_beta 90.00
_cell_angle_gamma 90.00
_space_group_name_H-M_alt 'P 4/m m m'
_space_group_IT_number 123
_space_group_name_Hall '-P 4 2'
loop_
_atom_site_label
_atom_site_fract_x
_atom_site_fract_y
_atom_site_fract_z
K1 0.0000 0.5000 0.0000
Cd1 0.0000 0.0000 0.5000
Hg1 0.5000 0.5000 0.5000
Pd1 0.0000 0.0000 0.0000

***

# KPrCdHg (GGA-PBE, relaxed)
# **Calculated total energy**: -30.174 eV/cell
# **Formation energy from the elements**: -0.112 eV per atom
data_KPrCdHg
_cell_length_a 7.8918
_cell_length_b 7.8918
_cell_length_c 7.8918
_cell_angle_alpha 90.00
_cell_angle_beta 90.00
_cell_angle_gamma 90.00
_space_group_name_H-M_alt 'F -4 3 m'
_space_group_IT_number 216
_space_group_name_Hall 'F -4 2 3'
loop_
_atom_site_label
_atom_site_fract_x
_atom_site_fract_y
_atom_site_fract_z
K1 0.0000 0.0000 0.0000
Pr1 0.0000 0.0000 0.5000
Cd1 0.2500 0.2500 0.2500
Hg1 0.2500 0.2500 0.7500

***

# K2CdHgPt (GGA-PBE, relaxed)
# **Polymorph energy (0 for the lowest one)**: 0.066 eV/atom
# **Calculated total energy**: -9.451 eV/cell
# **Formation energy from the elements**: 0.000 eV per atom
data_K2CdHgPt
_cell_length_a 6.1268
_cell_length_b 6.1268
_cell_length_c 5.3169
_cell_angle_alpha 90.00
_cell_angle_beta 90.00
_cell_angle_gamma 90.00
_space_group_name_H-M_alt 'P 4/m m m'
_space_group_IT_number 123
_space_group_name_Hall '-P 4 2'
loop_
_atom_site_label
_atom_site_fract_x
_atom_site_fract_y
_atom_site_fract_z
K1 0.0000 0.5000 0.0000
Cd1 0.0000 0.0000 0.5000
Hg1 0.5000 0.5000 0.5000
Pt1 0.5000 0.5000 0.0000

***

Number 4 is which compound? K2CdHg3Pb4